No. 1
An optimized crystal structure of CaBeCu, computed with PBE.

Cell lengths 4.4336, 4.4336, 4.4336 Å; angles 60.00, 60.00, 60.00 degrees
Positions (direct):
Ca  0.0000  0.0000  0.0000
Be  0.5000  0.5000  0.5000
Cu  0.7500  0.7500  0.7500

Computed properties:
The calculation puts the energy relative to the lowest polymorph listed for this composition at 337.4 meV/atom. The electronic total energy comes out at -0.104 Ha/atom. The spin magnetization is 0.00 μB/f.u. As for the formation energy: 41.7 kJ per mole of atoms.

No. 2
An optimized crystal structure of CaBeCu, computed with PBE.

Cell lengths 4.6425, 4.6425, 4.6425 Å; angles 60.00, 60.00, 60.00 degrees
Positions (direct):
Ca  0.0000  0.0000  0.0000
Be  0.2500  0.2500  0.2500
Cu  0.7500  0.7500  0.7500

Computed properties:
The calculation puts the energy relative to the lowest polymorph listed for this composition at 819.5 meV/atom. The electronic total energy comes out at -0.087 Ha/atom. The spin magnetization is 0.00 μB/f.u. As for the formation energy: 88.2 kJ per mole of atoms.

No. 3
An optimized crystal structure of CaBeCu, computed with PBE.

Cell lengths 3.9266, 3.9266, 4.2604 Å; angles 90.00, 90.00, 120.00 degrees
Positions (direct):
Ca  0.0000  0.0000  0.0000
Be  0.3333  0.6667  0.5000
Cu  0.6667  0.3333  0.5000

Computed properties:
The calculation puts the energy relative to the lowest polymorph listed for this composition at 0.0 meV/atom. The electronic total energy comes out at -0.117 Ha/atom. The spin magnetization is 0.00 μB/f.u. As for the formation energy: 9.1 kJ per mole of atoms.